Entry 1:
First-principles (PBE) data for Ca2PrGeN after structural relaxation, as listed in the Alexandria database.

* space-group type: No. 123
* N(E_F): 0.3 states/eV per cell
* mass density: 4.44 g cm⁻³
* M_tot: 0.0 μB per cell
* V: 115.2 Å³/cell
* raw formation energy: -0.88 eV/atom

Unit cell a=4.779 b=4.779 c=5.045 alpha=90.00 beta=90.00 gamma=90.00
Fractional positions:
Ca (0.000, 0.500, 0.000)
Ca (0.500, 0.000, 0.000)
Pr (0.000, 0.000, 0.500)
Ge (0.500, 0.500, 0.500)
N (0.000, 0.000, 0.000)

Entry 2:
First-principles (PBE) data for CaPuGeN3 after structural relaxation, as listed in the Alexandria database.

* space-group type: No. 11
* N(E_F): 13.4 states/eV per cell
* mass density: 6.69 g cm⁻³
* M_tot: 9.7 μB per cell
* V: 197.9 Å³/cell
* raw formation energy: -0.58 eV/atom

Unit cell a=7.135 b=3.468 c=8.022 alpha=90.00 beta=94.56 gamma=90.00
Fractional positions:
Ca (0.149, 0.250, 0.147)
Ca (0.851, 0.750, 0.853)
Pu (0.380, 0.750, 0.840)
Pu (0.620, 0.250, 0.160)
Ge (0.105, 0.250, 0.611)
Ge (0.895, 0.750, 0.389)
N (0.110, 0.250, 0.841)
N (0.149, 0.750, 0.506)
N (0.408, 0.750, 0.114)
N (0.592, 0.250, 0.886)
N (0.851, 0.250, 0.494)
N (0.890, 0.750, 0.159)

Entry 3:
First-principles (PBE) data for Ca4Pu3GeN8 after structural relaxation, as listed in the Alexandria database.

* space-group type: No. 166
* N(E_F): 17.7 states/eV per cell
* mass density: 7.59 g cm⁻³
* M_tot: 10.0 μB per cell
* V: 235.7 Å³/cell
* raw formation energy: -0.93 eV/atom

Unit cell a=6.895 b=6.895 c=6.895 alpha=60.75 beta=60.75 gamma=60.75
Fractional positions:
Ca (0.000, 0.000, 0.000)
Ca (0.000, 0.500, 0.500)
Ca (0.500, 0.000, 0.500)
Ca (0.500, 0.500, 0.000)
Pu (0.000, 0.000, 0.500)
Pu (0.000, 0.500, 0.000)
Pu (0.500, 0.000, 0.000)
Ge (0.500, 0.500, 0.500)
N (0.212, 0.750, 0.750)
N (0.241, 0.241, 0.241)
N (0.250, 0.250, 0.788)
N (0.250, 0.788, 0.250)
N (0.750, 0.212, 0.750)
N (0.750, 0.750, 0.212)
N (0.759, 0.759, 0.759)
N (0.788, 0.250, 0.250)

Entry 4:
First-principles (PBE) data for Ca2ReGeN5 after structural relaxation, as listed in the Alexandria database.

* space-group type: No. 36
* N(E_F): 3.1 states/eV per cell
* mass density: 5.73 g cm⁻³
* M_tot: 0.1 μB per cell
* V: 237.0 Å³/cell
* raw formation energy: -0.35 eV/atom

Unit cell a=7.106 b=7.106 c=11.115 alpha=90.00 beta=90.00 gamma=155.03
Fractional positions:
Ca (0.075, 0.925, 0.500)
Ca (0.138, 0.862, 0.142)
Ca (0.862, 0.138, 0.642)
Ca (0.925, 0.075, 0.000)
Re (0.234, 0.766, 0.874)
Re (0.766, 0.234, 0.374)
Ge (0.440, 0.560, 0.271)
Ge (0.560, 0.440, 0.771)
N (0.062, 0.938, 0.869)
N (0.274, 0.726, 0.493)
N (0.298, 0.702, 0.251)
N (0.359, 0.641, 0.841)
N (0.498, 0.502, 0.628)
N (0.502, 0.498, 0.128)
N (0.641, 0.359, 0.341)
N (0.702, 0.298, 0.751)
N (0.726, 0.274, 0.993)
N (0.938, 0.062, 0.369)

Entry 5:
First-principles (PBE) data for Ca2GeRhN after structural relaxation, as listed in the Alexandria database.

* space-group type: No. 123
* N(E_F): 3.6 states/eV per cell
* mass density: 4.69 g cm⁻³
* M_tot: 0.0 μB per cell
* V: 95.4 Å³/cell
* raw formation energy: -0.55 eV/atom

Unit cell a=4.962 b=4.962 c=3.874 alpha=90.00 beta=90.00 gamma=90.00
Fractional positions:
Ca (0.000, 0.500, 0.000)
Ca (0.500, 0.000, 0.000)
Ge (0.000, 0.000, 0.500)
Rh (0.500, 0.500, 0.500)
N (0.500, 0.500, 0.000)

Entry 6:
First-principles (PBE) data for CaGeRuN2 after structural relaxation, as listed in the Alexandria database.

* space-group type: No. 123
* N(E_F): 5.1 states/eV per cell
* mass density: 4.65 g cm⁻³
* M_tot: 2.3 μB per cell
* V: 86.3 Å³/cell
* raw formation energy: 1.72 eV/atom

Unit cell a=3.882 b=3.882 c=5.728 alpha=90.00 beta=90.00 gamma=90.00
Fractional positions:
Ca (0.000, 0.000, 0.000)
Ge (0.000, 0.000, 0.500)
Ru (0.500, 0.500, 0.000)
N (0.000, 0.500, 0.500)
N (0.500, 0.000, 0.500)

Entry 7:
First-principles (PBE) data for CaGeSN2 after structural relaxation, as listed in the Alexandria database.

* space-group type: No. 123
* N(E_F): 1.6 states/eV per cell
* mass density: 2.63 g cm⁻³
* M_tot: 4.0 μB per cell
* V: 109.0 Å³/cell
* E above lowest polymorph: 1094 meV per atom
* raw formation energy: 1.28 eV/atom

Unit cell a=4.463 b=4.463 c=5.472 alpha=90.00 beta=90.00 gamma=90.00
Fractional positions:
Ca (0.000, 0.000, 0.000)
Ge (0.500, 0.500, 0.500)
S (0.000, 0.000, 0.500)
N (0.000, 0.500, 0.000)
N (0.500, 0.000, 0.000)

Entry 8:
First-principles (PBE) data for CaGeS2N after structural relaxation, as listed in the Alexandria database.

* space-group type: No. 123
* N(E_F): 0.7 states/eV per cell
* mass density: 3.50 g cm⁻³
* M_tot: 1.1 μB per cell
* V: 90.5 Å³/cell
* E above lowest polymorph: 0 meV per atom
* raw formation energy: -0.26 eV/atom

Unit cell a=4.908 b=4.908 c=3.756 alpha=90.00 beta=90.00 gamma=90.00
Fractional positions:
Ca (0.000, 0.000, 0.000)
Ge (0.500, 0.500, 0.500)
S (0.000, 0.500, 0.500)
S (0.500, 0.000, 0.500)
N (0.500, 0.500, 0.000)

Entry 9:
First-principles (PBE) data for CaGeS2N after structural relaxation, as listed in the Alexandria database.

* space-group type: No. 123
* N(E_F): 4.1 states/eV per cell
* mass density: 2.57 g cm⁻³
* M_tot: 2.8 μB per cell
* V: 123.4 Å³/cell
* E above lowest polymorph: 962 meV per atom
* raw formation energy: 0.70 eV/atom

Unit cell a=5.265 b=5.265 c=4.451 alpha=90.00 beta=90.00 gamma=90.00
Fractional positions:
Ca (0.000, 0.000, 0.000)
Ge (0.500, 0.500, 0.500)
S (0.000, 0.500, 0.000)
S (0.500, 0.000, 0.000)
N (0.000, 0.000, 0.500)

Entry 10:
First-principles (PBE) data for CaGeSN2 after structural relaxation, as listed in the Alexandria database.

* space-group type: No. 123
* N(E_F): 2.1 states/eV per cell
* mass density: 3.76 g cm⁻³
* M_tot: 1.5 μB per cell
* V: 76.3 Å³/cell
* E above lowest polymorph: 0 meV per atom
* raw formation energy: 0.19 eV/atom

Unit cell a=3.884 b=3.884 c=5.061 alpha=90.00 beta=90.00 gamma=90.00
Fractional positions:
Ca (0.000, 0.000, 0.000)
Ge (0.500, 0.500, 0.500)
S (0.500, 0.500, 0.000)
N (0.000, 0.500, 0.500)
N (0.500, 0.000, 0.500)

Entry 11:
First-principles (PBE) data for CaGeSbN2 after structural relaxation, as listed in the Alexandria database.

* space-group type: No. 123
* N(E_F): 5.3 states/eV per cell
* mass density: 4.59 g cm⁻³
* M_tot: 0.1 μB per cell
* V: 94.9 Å³/cell
* raw formation energy: 0.90 eV/atom

Unit cell a=4.230 b=4.230 c=5.303 alpha=90.00 beta=90.00 gamma=90.00
Fractional positions:
Ca (0.000, 0.000, 0.000)
Ge (0.500, 0.500, 0.000)
Sb (0.500, 0.500, 0.500)
N (0.000, 0.500, 0.500)
N (0.500, 0.000, 0.500)

Entry 12:
First-principles (PBE) data for CaSc2GeN4 after structural relaxation, as listed in the Alexandria database.

* space-group type: No. 63
* mass density: 4.26 g cm⁻³
* M_tot: 0.0 μB per cell
* V: 201.5 Å³/cell
* raw formation energy: -1.16 eV/atom

Unit cell a=5.804 b=5.804 c=11.297 alpha=90.00 beta=90.00 gamma=148.02
Fractional positions:
Ca (0.105, 0.895, 0.750)
Ca (0.895, 0.105, 0.250)
Sc (0.370, 0.630, 0.533)
Sc (0.370, 0.630, 0.967)
Sc (0.630, 0.370, 0.033)
Sc (0.630, 0.370, 0.467)
Ge (0.163, 0.837, 0.250)
Ge (0.837, 0.163, 0.750)
N (0.000, 0.000, 0.000)
N (0.000, 0.000, 0.500)
N (0.258, 0.742, 0.118)
N (0.258, 0.742, 0.382)
N (0.434, 0.566, 0.750)
N (0.566, 0.434, 0.250)
N (0.742, 0.258, 0.618)
N (0.742, 0.258, 0.882)